[1]
VASP calculation (PBE) on a geometry-optimized SnC2Cl structure.

```
data_SnC2Cl
_chemical_formula_sum 'Sn4 C8 Cl4'
_cell_length_a 6.1110
_cell_length_b 6.1110
_cell_length_c 6.1110
_cell_angle_alpha 90.00
_cell_angle_beta 90.00
_cell_angle_gamma 90.00
_symmetry_space_group_name_H-M 'F m -3 m'
_symmetry_Int_Tables_number 225
_symmetry_space_group_name_Hall '-F 4 2 3'
loop_
_atom_site_label
_atom_site_type_symbol
_atom_site_fract_x
_atom_site_fract_y
_atom_site_fract_z
_atom_site_occupancy
Sn1 Sn 0.0000 0.0000 0.0000 1
C1 C 0.2500 0.2500 0.2500 1
Cl1 Cl 0.0000 0.0000 0.5000 1
```

Output
uncorrected energy = -3.539 eV per atom
total magnetization = 0.0 μB per cell
energy relative to the elements, uncorrected = 10.14 eV/f.u.
energy above the lowest structure with this stoichiometry = 0.452 eV per atom

---

[2]
VASP calculation (PBE) on a geometry-optimized La2HgB structure.

```
data_La2HgB
_chemical_formula_sum 'La8 Hg4 B4'
_cell_length_a 7.7949
_cell_length_b 7.7949
_cell_length_c 7.5453
_cell_angle_alpha 90.00
_cell_angle_beta 90.00
_cell_angle_gamma 90.00
_symmetry_space_group_name_H-M 'I -4 2 d'
_symmetry_Int_Tables_number 122
_symmetry_space_group_name_Hall 'I -4 2bw'
loop_
_atom_site_label
_atom_site_type_symbol
_atom_site_fract_x
_atom_site_fract_y
_atom_site_fract_z
_atom_site_occupancy
La1 La 0.1794 0.2500 0.1250 1
Hg1 Hg 0.0000 0.0000 0.5000 1
B1 B 0.0000 0.0000 0.0000 1
```

Output
uncorrected energy = -4.130 eV per atom
E_form = 0.08 eV/atom
total magnetization = 0.0 μB per cell
energy above the lowest structure with this stoichiometry = 0.000 eV per atom

---

Question: uncorrected energy of number 1 (SnC2Cl)?
Answer: -3.539 eV per atom